Entry 1:
Pr9Ga4: PBEsol geometry, SCAN.

Computed properties:
ΔH_f (0 K) = -10.184 kcal/mol of atoms
M_tot = 0.0 Bohr magnetons per cell
crystal system = tetragonal
SG = No. 87
E = -35.466 eV per atom

abc: 5.112 8.843 8.843
angles: 85.21 73.20 73.20
Element x y z (fractional)
Pr (0.500, 0.000, 0.000)
Pr (0.595, 0.278, 0.532)
Pr (0.405, 0.722, 0.468)
Pr (0.127, 0.468, 0.278)
Pr (0.873, 0.532, 0.722)
Pr (0.892, 0.921, 0.296)
Pr (0.108, 0.079, 0.704)
Pr (0.188, 0.704, 0.921)
Pr (0.812, 0.296, 0.079)
Ga (0.730, 0.883, 0.656)
Ga (0.270, 0.117, 0.344)
Ga (0.387, 0.344, 0.883)
Ga (0.613, 0.656, 0.117)

=====

Entry 2:
PrGa6: PBEsol geometry, SCAN.

Computed properties:
ΔH_f (0 K) = -9.283 kcal/mol of atoms
M_tot = 0.0 Bohr magnetons per cell
crystal system = tetragonal
SG = No. 125
E = -20.603 eV per atom

abc: 5.936 5.936 7.604
angles: 90.00 90.00 90.00
Element x y z (fractional)
Pr (0.500, 0.000, 0.000)
Pr (0.000, 0.500, 0.000)
Ga (0.500, 0.500, 0.162)
Ga (0.000, 0.000, 0.162)
Ga (0.000, 0.000, 0.838)
Ga (0.500, 0.500, 0.838)
Ga (0.814, 0.686, 0.352)
Ga (0.314, 0.814, 0.352)
Ga (0.686, 0.186, 0.352)
Ga (0.186, 0.314, 0.352)
Ga (0.686, 0.814, 0.648)
Ga (0.186, 0.686, 0.648)
Ga (0.814, 0.314, 0.648)
Ga (0.314, 0.186, 0.648)

=====

Entry 3:
PrGa3Pt: PBEsol geometry, SCAN.

Computed properties:
ΔH_f (0 K) = -20.161 kcal/mol of atoms
M_tot = 0.0 Bohr magnetons per cell
crystal system = tetragonal
SG = No. 119
E = -33.386 eV per atom

abc: 4.160 4.160 6.127
angles: 109.85 109.85 90.00
Element x y z (fractional)
Pr (0.000, 0.000, 0.000)
Ga (0.386, 0.386, 0.771)
Ga (0.614, 0.614, 0.229)
Ga (0.250, 0.750, 0.500)
Pt (0.750, 0.250, 0.500)

=====

Question: What is the ΔH_f (0 K) in the third record?
Answer: -20.161 kcal/mol of atoms

=====

Question: What is the formula in the third record?
Answer: PrGa3Pt